A relaxed Cs3F5 crystal. Source: the Alexandria database, functional PBE.

Cell lengths 5.5441, 8.2253, 9.3780 Å; angles 84.28, 72.81, 70.30 degrees
Closest atoms and distances in Å follow each position.
Positions (direct):
F (0.5147, 0.1717, 0.7096)  1 F 2.12
F (0.2113, 0.1027, 0.8756)  1 F 2.12
F (0.7118, 0.5764, 0.0000)  2 F 2.60
F (0.6860, 0.1027, 0.1244)  1 F 2.12
F (0.4743, 0.6717, 0.7904)  1 F 2.12
F (0.9618, 0.0764, 0.5000)  2 F 2.60
F (0.3136, 0.1717, 0.2904)  1 F 2.12
F (0.0604, 0.6027, 0.3756)  1 F 2.12
F (0.8540, 0.6717, 0.2096)  1 F 2.12
F (0.3369, 0.6027, 0.6244)  1 F 2.12
Cs (0.5497, 0.9007, 0.5000)  8 F 3.04-3.16
Cs (0.6579, 0.3786, 0.3338)  6 F 2.97-3.15
Cs (0.9636, 0.3786, 0.6662)  6 F 2.97-3.15
Cs (0.8798, 0.8786, 0.8338)  6 F 2.97-3.15
Cs (0.2417, 0.8786, 0.1662)  6 F 2.97-3.15
Cs (0.2997, 0.4007, 0.0000)  8 F 3.04-3.16

* formation energy (no corrections): -2.0336 eV per atom
* space group: No. 43



A relaxed Cs3F2 crystal. Source: the Alexandria database, functional PBE.

Cell lengths 7.6291, 7.6291, 8.6443 Å; angles 63.81, 63.81, 60.00 degrees
Closest atoms and distances in Å follow each position.
Positions (direct):
Cs (0.5661, 0.9339, 0.2500)  4 F 3.07-3.18
Cs (0.0661, 0.7500, 0.7500)  4 F 3.07-3.18
Cs (0.4339, 0.0661, 0.7500)  4 F 3.07-3.18
Cs (0.9339, 0.2500, 0.2500)  4 F 3.07-3.18
Cs (0.2500, 0.5661, 0.2500)  4 F 3.07-3.18
Cs (0.7500, 0.4339, 0.7500)  4 F 3.07-3.18
F (0.8352, 0.8352, 0.4945)  6 Cs 3.07-3.18
F (0.6648, 0.6648, 0.0055)  6 Cs 3.07-3.18
F (0.3352, 0.3352, 0.9945)  6 Cs 3.07-3.18
F (0.1648, 0.1648, 0.5055)  6 Cs 3.07-3.18

* formation energy (no corrections): -2.0026 eV per atom
* space group: No. 167
* distance to the lowest polymorph of the same formula: 69 meV per atom



A relaxed CsF3 crystal. Source: the Alexandria database, functional PBE.

Cell lengths 4.4474, 4.4474, 5.6033 Å; angles 113.38, 113.38, 90.00 degrees
Closest atoms and distances in Å follow each position.
Positions (direct):
F (0.5000, 0.5000, 0.0000)  2 F 1.73
F (0.3132, 0.3132, 0.6264)  1 F 1.73
F (0.6868, 0.6868, 0.3736)  1 F 1.73
Cs (0.0000, 0.0000, 0.0000)  6 F 2.90-3.14

* formation energy (no corrections): -1.4685 eV per atom
* space group: No. 139



A relaxed CsF crystal. Source: the Alexandria database, functional PBE.

Cell lengths 11.9896, 11.9896, 4.8606 Å; angles 90.00, 90.00, 90.00 degrees
Closest atoms and distances in Å follow each position.
Positions (direct):
F (0.8762, 0.2916, 0.5000)  4 Cs 2.85-2.90
F (0.1238, 0.7084, 0.5000)  4 Cs 2.85-2.90
F (0.7084, 0.8762, 0.5000)  4 Cs 2.85-2.90
F (0.7916, 0.6238, 0.0000)  4 Cs 2.85-2.90
F (0.6238, 0.2084, 0.0000)  4 Cs 2.85-2.90
F (0.3762, 0.7916, 0.0000)  4 Cs 2.85-2.90
F (0.2916, 0.1238, 0.5000)  4 Cs 2.85-2.90
F (0.2084, 0.3762, 0.0000)  4 Cs 2.85-2.90
Cs (0.6135, 0.7879, 0.0000)  4 F 2.85-2.90
Cs (0.2121, 0.6135, 0.0000)  4 F 2.85-2.90
Cs (0.2879, 0.8865, 0.5000)  4 F 2.85-2.90
Cs (0.7879, 0.3865, 0.0000)  4 F 2.85-2.90
Cs (0.8865, 0.7121, 0.5000)  4 F 2.85-2.90
Cs (0.1135, 0.2879, 0.5000)  4 F 2.85-2.90
Cs (0.7121, 0.1135, 0.5000)  4 F 2.85-2.90
Cs (0.3865, 0.2121, 0.0000)  4 F 2.85-2.90

* formation energy (no corrections): -2.5883 eV per atom
* space group: No. 87



A relaxed CsF3 crystal. Source: the Alexandria database, functional PBE.

Cell lengths 5.2039, 5.2434, 7.8581 Å; angles 75.58, 89.98, 60.24 degrees
Closest atoms and distances in Å follow each position.
Positions (direct):
F (0.8748, 0.7508, 0.6070)  1 F 1.67
F (0.2055, 0.0895, 0.6133)  2 F 1.67-1.81
F (0.2877, 0.9262, 0.8524)  1 F 1.81
F (0.7945, 0.9105, 0.3867)  2 F 1.67-1.81
F (0.1252, 0.2492, 0.3930)  1 F 1.67
F (0.7123, 0.0738, 0.1476)  1 F 1.81
Cs (0.5943, 0.3124, 0.7617)  7 F 2.91-3.14
Cs (0.4057, 0.6876, 0.2383)  7 F 2.91-3.14

* formation energy (no corrections): -1.4825 eV per atom
* space group: No. 2



A relaxed CsF3 crystal. Source: the Alexandria database, functional PBE.

Cell lengths 4.4338, 4.4661, 4.4958 Å; angles 74.83, 75.60, 76.27 degrees
Closest atoms and distances in Å follow each position.
Positions (direct):
F (0.8165, 0.3162, 0.8156)  1 F 1.74
F (0.1835, 0.6838, 0.1844)  1 F 1.74
F (0.0000, 0.5000, 0.0000)  2 F 1.74
Cs (0.5000, 0.0000, 0.5000)  8 F 2.99-3.17

* formation energy (no corrections): -1.5048 eV per atom
* space group: No. 2



A relaxed CsF3 crystal. Source: the Alexandria database, functional PBE.

Cell lengths 5.2176, 5.3811, 6.5210 Å; angles 92.43, 106.04, 94.50 degrees
Closest atoms and distances in Å follow each position.
Positions (direct):
F (0.7359, 0.2729, 0.0101)  1 F 1.80
F (0.2641, 0.7271, 0.9899)  1 F 1.80
F (0.0826, 0.2056, 0.6264)  1 F 1.69
F (0.9174, 0.7944, 0.3736)  1 F 1.69
F (0.8291, 0.5384, 0.2013)  2 F 1.69-1.80
F (0.1709, 0.4616, 0.7987)  2 F 1.69-1.80
Cs (0.3097, 0.2181, 0.2336)  9 F 2.98-3.27
Cs (0.6903, 0.7819, 0.7664)  9 F 2.98-3.27

* formation energy (no corrections): -1.4752 eV per atom
* space group: No. 2



A relaxed CsF6 crystal. Source: the Alexandria database, functional PBE.

Cell lengths 5.4406, 5.4406, 5.4406 Å; angles 109.47, 109.47, 109.47 degrees
Closest atoms and distances in Å follow each position.
Positions (direct):
F (0.2500, 0.7500, 0.5000)  4 F 2.22
F (0.7500, 0.2500, 0.5000)  4 F 2.22
F (0.2500, 0.5000, 0.7500)  4 F 2.22
F (0.7500, 0.5000, 0.2500)  4 F 2.22
F (0.5000, 0.7500, 0.2500)  4 F 2.22
F (0.5000, 0.2500, 0.7500)  4 F 2.22
Cs (0.0000, 0.0000, 0.0000)  24 F 3.51

* formation energy (no corrections): -0.5037 eV per atom
* space group: No. 229